(1)
Crystalline Mn2ReIr at its relaxed geometry. Source: Alexandria via LeMat-Bulk, functional PBE.

Summary:
Symmetry: Pmm2 (25)

Lattice parameters (Å, degrees): 2.6947 3.7682 5.3066 90.00 90.00 90.00
Last column: nearest neighbours and their distance in Å.
Fractional coordinates of all 4 atoms:
Ir 0.5000 0.5000 0.7506  6 Mn 2.60-2.71, 4 Re 2.67, 2 Ir 2.69
Mn 0.0000 0.0000 0.0098  2 Re 2.60-2.71, 6 Mn 2.62-2.69, 4 Ir 2.69
Mn 0.5000 0.5000 0.2407  2 Ir 2.60-2.71, 6 Mn 2.62-2.69, 4 Re 2.69
Re 0.0000 0.0000 0.4990  6 Mn 2.60-2.71, 4 Ir 2.67, 2 Re 2.69

***

(2)
Crystalline Mn2ReIr2 at its relaxed geometry. Source: Alexandria via LeMat-Bulk, functional PBE.

Summary:
Symmetry: P4/mbm (127)
Polymorph energy (0 for the lowest one), meV per atom: 0

Lattice parameters (Å, degrees): 7.0442 7.0442 2.6870 90.00 90.00 90.00
Last column: nearest neighbours and their distance in Å.
Fractional coordinates of all 10 atoms:
Re 0.0000 0.0000 0.0000  2 Re 2.69, 4 Mn 2.82, 8 Ir 2.92
Re 0.5000 0.5000 0.0000  2 Re 2.69, 4 Mn 2.82, 8 Ir 2.92
Ir 0.1771 0.6771 0.5000  6 Mn 2.45-2.51, 2 Ir 2.69
Ir 0.6771 0.8229 0.5000  6 Mn 2.45-2.51, 2 Ir 2.69
Ir 0.8229 0.3229 0.5000  6 Mn 2.45-2.51, 2 Ir 2.69
Ir 0.3229 0.1771 0.5000  6 Mn 2.45-2.51, 2 Ir 2.69
Mn 0.3825 0.8825 0.0000  1 Mn 2.34, 6 Ir 2.45-2.51
Mn 0.8825 0.6175 0.0000  1 Mn 2.34, 6 Ir 2.45-2.51
Mn 0.6175 0.1175 0.0000  1 Mn 2.34, 6 Ir 2.45-2.51
Mn 0.1175 0.3825 0.0000  1 Mn 2.34, 6 Ir 2.45-2.51

***

(3)
Crystalline Mn2Re2Ir at its relaxed geometry. Source: Alexandria via LeMat-Bulk, functional PBE.

Summary:
Symmetry: P4/mbm (127)

Lattice parameters (Å, degrees): 6.9353 6.9353 2.7878 90.00 90.00 90.00
Last column: nearest neighbours and their distance in Å.
Fractional coordinates of all 10 atoms:
Re 0.1708 0.6708 0.5000  6 Mn 2.42-2.51
Re 0.6708 0.8292 0.5000  6 Mn 2.42-2.51
Re 0.8292 0.3292 0.5000  6 Mn 2.42-2.51
Re 0.3292 0.1708 0.5000  6 Mn 2.42-2.51
Ir 0.0000 0.0000 0.0000  4 Mn 2.73, 2 Ir 2.79, 8 Re 2.93
Ir 0.5000 0.5000 0.0000  4 Mn 2.73, 2 Ir 2.79, 8 Re 2.93
Mn 0.3720 0.8720 0.0000  6 Re 2.42-2.51, 1 Mn 2.51
Mn 0.8720 0.6280 0.0000  6 Re 2.42-2.51, 1 Mn 2.51
Mn 0.6280 0.1280 0.0000  6 Re 2.42-2.51, 1 Mn 2.51
Mn 0.1280 0.3720 0.0000  6 Re 2.42-2.51, 1 Mn 2.51

***

(4)
Crystalline MnReIr2 at its relaxed geometry. Source: Alexandria via LeMat-Bulk, functional PBE.

Summary:
Symmetry: I-4m2 (119)
Polymorph energy (0 for the lowest one), meV per atom: 90

Lattice parameters (Å, degrees): 4.6798 4.6798 4.6798 131.82 131.82 70.51
Last column: nearest neighbours and their distance in Å.
Fractional coordinates of all 4 atoms:
Ir 0.0000 0.0000 0.0000  4 Mn 2.70, 4 Re 2.70, 4 Ir 2.70
Ir 0.2500 0.7500 0.5000  4 Re 2.70, 4 Mn 2.70, 4 Ir 2.70
Mn 0.5000 0.5000 0.0000  8 Ir 2.70, 4 Re 2.70
Re 0.7500 0.2500 0.5000  8 Ir 2.70, 4 Mn 2.70

***

(5)
Crystalline MnRe2Ir at its relaxed geometry. Source: Alexandria via LeMat-Bulk, functional PBE.

Summary:
Symmetry: Cm (8)
Polymorph energy (0 for the lowest one), meV per atom: 43

Lattice parameters (Å, degrees): 4.6747 4.6747 4.7385 80.84 80.84 33.69
Last column: nearest neighbours and their distance in Å.
Fractional coordinates of all 4 atoms:
Ir 0.4984 0.4984 0.4988  3 Mn 2.68-2.74, 7 Re 2.69-2.76, 2 Ir 2.71
Mn 0.2517 0.2517 0.2482  7 Re 2.68-2.74, 3 Ir 2.68-2.74, 2 Mn 2.71
Re 0.9981 0.9981 0.0076  3 Mn 2.68-2.70, 4 Ir 2.69-2.76, 5 Re 2.70-2.76
Re 0.7519 0.7519 0.7454  3 Ir 2.69-2.72, 5 Re 2.70-2.76, 4 Mn 2.72-2.74

***

(6)
Crystalline MnRe2Ir at its relaxed geometry. Source: Alexandria via LeMat-Bulk, functional PBE.

Summary:
Symmetry: R3m (160)
Polymorph energy (0 for the lowest one), meV per atom: 109

Lattice parameters (Å, degrees): 8.8833 8.8833 8.8833 17.75 17.75 17.75
Last column: nearest neighbours and their distance in Å.
Fractional coordinates of all 4 atoms:
Ir 0.4964 0.4964 0.4964  3 Mn 2.61, 6 Ir 2.74, 3 Re 2.78
Mn 0.7507 0.7507 0.7507  3 Ir 2.61, 3 Re 2.66, 6 Mn 2.74
Re 0.0026 0.0026 0.0026  3 Mn 2.66, 9 Re 2.74-2.75
Re 0.2503 0.2503 0.2503  9 Re 2.74-2.75, 3 Ir 2.78

***

(7)
Crystalline Mn2ReIr at its relaxed geometry. Source: Alexandria via LeMat-Bulk, functional PBE.

Summary:
Symmetry: P4/mmm (123)

Lattice parameters (Å, degrees): 4.2617 4.2617 3.0271 90.00 90.00 90.00
Last column: nearest neighbours and their distance in Å.
Fractional coordinates of all 4 atoms:
Ir 0.0000 0.5000 0.5000  8 Mn 2.61
Mn 0.0000 0.0000 0.0000  4 Re 2.61, 4 Ir 2.61
Mn 0.5000 0.5000 0.0000  4 Re 2.61, 4 Ir 2.61
Re 0.5000 0.0000 0.5000  8 Mn 2.61

***

(8)
Crystalline MnRe2Ir2 at its relaxed geometry. Source: Alexandria via LeMat-Bulk, functional PBE.

Summary:
Symmetry: I4/mmm (139)
Polymorph energy (0 for the lowest one), meV per atom: 538

Lattice parameters (Å, degrees): 3.5403 3.5403 6.9175 75.17 75.17 90.00
Last column: nearest neighbours and their distance in Å.
Fractional coordinates of all 5 atoms:
Re 0.7500 0.2500 0.5000  4 Re 2.50, 4 Ir 2.66
Re 0.2500 0.7500 0.5000  4 Re 2.50, 4 Ir 2.66
Ir 0.4044 0.4044 0.1912  1 Ir 2.47, 4 Re 2.66
Ir 0.5956 0.5956 0.8088  1 Ir 2.47, 4 Re 2.66
Mn 0.0000 0.0000 0.0000  8 Ir 2.79

***

Which size of the total moment belongs to each record? In order, 0.3, 0.0, 0.0, 1.4, 1.7, 1.6, 6.0, 0.4 μB per cell.
Which DFT formation energy belongs to each record? In order, -76.4, 56.7, 100.0, -114.6, -34.8, 30.8, -20.4, 696.3 meV per atom.
Which electronic total energy belongs to each record? In order, -9.9885, -9.6452, -10.3192, -9.9495, -10.7665, -10.7009, -9.9325, -9.6613 eV/atom.